! YTmTh | OQMD | PBE | optimized geometry; values from VASP
! DFT formation energy (meV/atom): 796
&SYSTEM
  ibrav = 0, nat = 3, ntyp = 3
/
ATOMIC_SPECIES
Y 88.91 Y.upf
Tm 168.93 Tm.upf
Th 232.04 Th.upf
CELL_PARAMETERS angstrom
-3.2447 -3.4330 -2.6034
-5.0134 -0.8591 1.7941
-4.2203 1.8683 -2.7910
ATOMIC_POSITIONS crystal
Y 0.7500 0.7500 0.7500
Tm 0.0000 0.0000 0.0000
Th 0.2500 0.2500 0.2500

! CoW3CN | OQMD | PBE | optimized geometry; values from VASP
! Raw total energy (eV per atom): -10.321
&SYSTEM
  ibrav = 0, nat = 12, ntyp = 4
/
ATOMIC_SPECIES
W 183.84 W.upf
N 14.01 N.upf
C 12.01 C.upf
Co 58.93 Co.upf
CELL_PARAMETERS angstrom
2.8674 0.0000 0.0000
-1.4337 2.4833 0.0000
0.0000 0.0000 19.6790
ATOMIC_POSITIONS crystal
W 0.6667 0.3333 0.1399
N 0.6667 0.3333 0.5755
W 0.3333 0.6667 0.8601
C 0.3333 0.6667 0.0722
W 0.3333 0.6667 0.6481
W 0.0000 0.0000 0.0000
N 0.3333 0.6667 0.4245
C 0.6667 0.3333 0.9278
W 0.0000 0.0000 0.5000
Co 0.0000 0.0000 0.2467
Co 0.0000 0.0000 0.7533
W 0.6667 0.3333 0.3519

! Ba4Ir3Au | OQMD | PBE | optimized geometry; values from VASP
! Raw total energy (eV per atom): -4.933
&SYSTEM
  ibrav = 0, nat = 8, ntyp = 3
/
ATOMIC_SPECIES
Au 196.97 Au.upf
Ir 192.22 Ir.upf
Ba 137.33 Ba.upf
CELL_PARAMETERS angstrom
-3.6958 -4.9579 -0.4686
3.5408 -2.4901 -1.5805
2.2858 -2.0141 8.2942
ATOMIC_POSITIONS crystal
Au 0.8821 0.0000 0.0356
Ir 0.5612 0.0000 0.5175
Ba 0.3865 0.0000 0.1684
Ba 0.1056 0.0000 0.6937
Ir 0.1127 0.5000 0.9639
Ba 0.6008 0.5000 0.8231
Ir 0.4455 0.5000 0.4749
Ba 0.9056 0.5000 0.3230

! TcPb2 | OQMD | PBE | optimized geometry; values from VASP
! Raw total energy (eV per atom): -4.495
&SYSTEM
  ibrav = 0, nat = 6, ntyp = 2
/
ATOMIC_SPECIES
Tc 98.00 Tc.upf
Pb 207.20 Pb.upf
CELL_PARAMETERS angstrom
0.0000 4.2686 4.2686
4.2686 0.0000 4.2686
4.2686 4.2686 0.0000
ATOMIC_POSITIONS crystal
Tc 0.0000 0.0000 0.0000
Pb 0.6250 0.1250 0.6250
Pb 0.1250 0.6250 0.6250
Pb 0.6250 0.6250 0.6250
Tc 0.2500 0.2500 0.2500
Pb 0.6250 0.6250 0.1250